# 1
Ca2Mg3Ag | GGA-PBE | optimized geometry

Calculated values
DOS(E_F) in states/eV per atom: 0.797
Calculated formation energy in eV per atom: -0.190
VASP energy in eV per atom: -2.1294

a = 6.120 Å, b = 6.120 Å, c = 9.668 Å
α = 90.00°, β = 90.00°, γ = 120.00°
Element x y z (fractional)
1 Ca 0.667 0.333 0.440
2 Ca 0.667 0.333 0.060
3 Ca 0.333 0.667 0.560
4 Ca 0.333 0.667 0.940
5 Mg 0.165 0.835 0.250
6 Mg 0.835 0.670 0.750
7 Mg 0.330 0.165 0.750
8 Mg 0.165 0.330 0.250
9 Mg 0.670 0.835 0.250
10 Mg 0.835 0.165 0.750
11 Ag 0.000 0.000 0.000
12 Ag 0.000 0.000 0.500

***

# 2
SrLa2Pb | GGA-PBE | optimized geometry

Calculated values
DOS(E_F) in states/eV per atom: 1.597
Calculated formation energy in eV per atom: -0.168
VASP energy in eV per atom: -3.9791

a = 3.794 Å, b = 3.794 Å, c = 10.924 Å
α = 90.00°, β = 90.00°, γ = 90.07°
Element x y z (fractional)
1 Pb 0.500 0.500 0.250
2 La 0.000 0.000 0.053
3 La 0.000 0.000 0.447
4 Sr 0.500 0.500 0.750

***

# 3
Ce3Cd2In4 | GGA-PBE | optimized geometry

Calculated values
DOS(E_F) in states/eV per atom: 2.154
Calculated formation energy in eV per atom: -0.337
VASP energy in eV per atom: -3.7353

a = 5.073 Å, b = 6.195 Å, c = 9.482 Å
α = 116.42°, β = 90.00°, γ = 114.17°
Element x y z (fractional)
1 In 0.275 0.550 0.939
2 In 0.053 0.106 0.385
3 In 0.725 0.450 0.061
4 In 0.947 0.894 0.615
5 Ce 0.333 0.667 0.334
6 Ce 0.000 0.000 0.000
7 Ce 0.667 0.333 0.666
8 Cd 0.389 0.778 0.721
9 Cd 0.611 0.222 0.279

***

# 4
Rb4I2O | GGA-PBE | optimized geometry

Calculated values
VASP energy in eV per atom: -2.9692

a = 5.521 Å, b = 5.742 Å, c = 9.536 Å
α = 107.52°, β = 90.00°, γ = 90.00°
Element x y z (fractional)
1 O 0.000 0.000 0.000
2 Rb 0.000 0.852 0.704
3 Rb 0.000 0.148 0.296
4 Rb 0.000 0.500 0.000
5 Rb 0.500 0.000 0.000
6 I 0.500 0.353 0.706
7 I 0.500 0.647 0.294